A relaxed structure of Y3Mg3HgAu2. Source: OQMD via LeMat-Bulk, functional PBE. Values from VASP.

Geometry as Quantum ESPRESSO input:
```
&SYSTEM
  ibrav = 0, nat = 9, ntyp = 4
/
ATOMIC_SPECIES
Au 196.97 Au.upf
Hg 200.59 Hg.upf
Mg 24.30 Mg.upf
Y 88.91 Y.upf
ATOMIC_POSITIONS crystal
Au 0.667 0.333 0.500
Au 0.333 0.667 0.500
Hg 0.000 0.000 0.000
Mg 0.746 0.000 0.500
Mg 0.254 0.254 0.500
Mg 0.000 0.746 0.500
Y 0.415 0.000 0.000
Y 0.000 0.415 0.000
Y 0.585 0.585 0.000
CELL_PARAMETERS angstrom
-4.952 -2.007 -5.501
2.614 -5.273 4.916
-3.158 0.810 2.548
```

Computed properties:
- VASP energy (eV per cell) = -36.2
- total magnetic moment (μB/cell) = 0.02